VASP calculation (PBE) on crystalline Sr3Sn2Rh3 at its relaxed geometry.

abc: 8.417 15.446 6.507
angles: 90.00 90.00 90.00
Fractional coordinates of all 32 atoms:
1 Sr 0.003 0.107 0.149
2 Sr 0.003 0.393 0.149
3 Sr 0.147 0.250 0.595
4 Sr 0.353 0.750 0.095
5 Sr 0.497 0.607 0.649
6 Sr 0.497 0.893 0.649
7 Sr 0.503 0.107 0.351
8 Sr 0.503 0.393 0.351
9 Sr 0.647 0.250 0.905
10 Sr 0.853 0.750 0.405
11 Sr 0.997 0.607 0.851
12 Sr 0.997 0.893 0.851
13 Sn 0.151 0.598 0.366
14 Sn 0.151 0.902 0.366
15 Sn 0.349 0.098 0.866
16 Sn 0.349 0.402 0.866
17 Sn 0.651 0.598 0.134
18 Sn 0.651 0.902 0.134
19 Sn 0.849 0.098 0.634
20 Sn 0.849 0.402 0.634
21 Rh 0.145 0.043 0.595
22 Rh 0.145 0.457 0.595
23 Rh 0.201 0.750 0.561
24 Rh 0.299 0.250 0.061
25 Rh 0.355 0.543 0.095
26 Rh 0.355 0.957 0.095
27 Rh 0.645 0.043 0.905
28 Rh 0.645 0.457 0.905
29 Rh 0.701 0.750 0.939
30 Rh 0.799 0.250 0.439
31 Rh 0.855 0.543 0.405
32 Rh 0.855 0.957 0.405

Values from the calculation:
V: 26.437 Å³ per atom
energy relative to the elements: -0.527 eV/atom

***

VASP calculation (PBE) on crystalline SrSn2Rh at its relaxed geometry.

abc: 6.464 6.464 6.464
angles: 40.81 40.81 40.81
Fractional coordinates of all 4 atoms:
1 Sr 0.000 0.000 0.000
2 Sn 0.216 0.216 0.216
3 Sn 0.784 0.784 0.784
4 Rh 0.500 0.500 0.500

Values from the calculation:
V: 26.034 Å³ per atom
energy relative to the elements: -0.559 eV/atom

***

VASP calculation (PBE) on crystalline SrSn12Rh6 at its relaxed geometry.

abc: 7.920 7.920 7.920
angles: 105.73 105.73 105.73
Fractional coordinates of all 19 atoms:
1 Sr 0.000 0.000 0.000
2 Sn 0.120 0.500 0.880
3 Sn 0.120 0.880 0.500
4 Sn 0.150 0.407 0.407
5 Sn 0.407 0.150 0.407
6 Sn 0.407 0.407 0.150
7 Sn 0.500 0.120 0.880
8 Sn 0.500 0.880 0.120
9 Sn 0.593 0.593 0.850
10 Sn 0.593 0.850 0.593
11 Sn 0.850 0.593 0.593
12 Sn 0.880 0.120 0.500
13 Sn 0.880 0.500 0.120
14 Rh 0.278 0.278 0.703
15 Rh 0.278 0.703 0.278
16 Rh 0.297 0.722 0.722
17 Rh 0.703 0.278 0.278
18 Rh 0.722 0.297 0.722
19 Rh 0.722 0.722 0.297

Values from the calculation:
V: 22.485 Å³ per atom
energy relative to the elements: -0.338 eV/atom

***

VASP calculation (PBE) on crystalline SrSnRh at its relaxed geometry.

abc: 6.579 6.940 8.371
angles: 90.00 122.26 90.00
Fractional coordinates of all 12 atoms:
1 Sr 0.212 0.142 0.419
2 Sr 0.212 0.358 0.919
3 Sr 0.788 0.642 0.081
4 Sr 0.788 0.858 0.581
5 Sn 0.263 0.632 0.574
6 Sn 0.263 0.868 0.074
7 Sn 0.737 0.132 0.926
8 Sn 0.737 0.368 0.426
9 Rh 0.367 0.596 0.315
10 Rh 0.367 0.904 0.815
11 Rh 0.633 0.096 0.185
12 Rh 0.633 0.404 0.685

Values from the calculation:
V: 26.935 Å³ per atom
energy relative to the elements: -0.597 eV/atom